A relaxed TiV2CoAg crystal. Source: the Alexandria database, functional PBE-GGA.

Unit cell a=4.3233 b=4.3233 c=4.5025 alpha=90.00 beta=90.00 gamma=90.00
With the nearest neighbours (Å) after each atom.
Element x y z (fractional)
Ti1 0.0000 0.0000 0.0000  2 Co 2.25
V1 0.0000 0.5000 0.5000  2 Co 2.16
V2 0.5000 0.0000 0.5000  2 Co 2.16
Co1 0.0000 0.0000 0.5000  4 V 2.16, 2 Ti 2.25
Ag1 0.5000 0.5000 0.0000  4 Ti 3.06, 8 V 3.12

DOS at the Fermi energy in states/eV per cell: 7.0
Energy relative to the elements in eV/atom: 0.62